1.
## CrAg2Cl (PBE)

Data for an optimized crystal structure of CrAg2Cl.

Structure (CIF):
```
data_CrAg2Cl
_chemical_formula_sum 'Cr1 Ag2 Cl1'
_symmetry_space_group_name_H-M 'P 4/m m m'
_symmetry_Int_Tables_number 123
_symmetry_space_group_name_Hall '-P 4 2'
_cell_length_a 3.513
_cell_length_b 3.513
_cell_length_c 6.287
_cell_angle_alpha 90.00
_cell_angle_beta 90.00
_cell_angle_gamma 90.00
loop_
_atom_site_label
_atom_site_type_symbol
_atom_site_fract_x
_atom_site_fract_y
_atom_site_fract_z
Cr1 Cr 0.000 0.000 0.000
Ag1 Ag 0.500 0.500 0.225
Cl1 Cl 0.000 0.000 0.500
```

Properties
Energy relative to the elements, uncorrected ... 223 meV/atom
Relative energy among the computed polymorphs ... 160 meV/atom
N(E_F) ... 0.18 states/eV/atom

=====

2.
## Cr2SiCl (PBE)

Data for an optimized crystal structure of Cr2SiCl.

Structure (CIF):
```
data_Cr2SiCl
_chemical_formula_sum 'Cr2 Si1 Cl1'
_symmetry_space_group_name_H-M 'P 4 m m'
_symmetry_Int_Tables_number 99
_cell_length_a 3.049
_cell_length_b 3.049
_cell_length_c 7.410
_cell_angle_alpha 90.00
_cell_angle_beta 90.00
_cell_angle_gamma 90.00
loop_
_symmetry_equiv_pos_as_xyz
'x,y,z'
'-y,x,z'
'-x,-y,z'
'y,-x,z'
'-x,y,z'
'y,x,z'
'x,-y,z'
'-y,-x,z'
loop_
_atom_site_label
_atom_site_type_symbol
_atom_site_fract_x
_atom_site_fract_y
_atom_site_fract_z
Cr1 Cr 0.000 0.000 0.000
Cr2 Cr 0.500 0.500 0.193
Si1 Si 0.000 0.000 0.358
Cl1 Cl 0.500 0.500 0.793
```

Properties
Energy relative to the elements, uncorrected ... 69 meV/atom
Relative energy among the computed polymorphs ... 61 meV/atom
N(E_F) ... 0.36 states/eV/atom